BaNaV | PBE | optimized geometry

extended XYZ file:
```
12
Lattice="10.824 0.000 0.000 0.000 5.997 0.000 -2.120 0.000 6.527" Properties=species:S:1:pos:R:3 pbc="T T T"
Ba 0.000 0.000 0.000
Ba 1.396 0.000 3.785
Ba 5.412 2.998 0.000
Ba 6.808 2.998 3.785
Na -0.425 2.998 5.742
Na 2.933 2.998 2.422
Na 4.987 0.000 5.742
Na 8.345 0.000 2.422
V -0.532 2.998 2.189
V 3.579 0.000 0.907
V 4.879 0.000 2.189
V 8.991 2.998 0.907
```

Properties
**Calculated formation energy**: 1.87 eV per formula unit
**Total energy**: -3.50 eV per atom
**Energy above the lowest structure with this stoichiometry**: 13.1 kJ per mole of atoms
**Space-group type**: Cm, No. 8